1.
# OsXeO4F6 | the Alexandria database | PBE-GGA | optimized geometry
# - uncorrected formation energy (eV/atom) = -0.66
# - total DFT energy (no corrections) (eV/atom) = -4.19
# - density (Mg/m³) = 4.01
data_OsXeO4F6
_cell_length_a 5.384
_cell_length_b 8.168
_cell_length_c 9.640
_cell_angle_alpha 81.82
_cell_angle_beta 80.22
_cell_angle_gamma 87.49
_space_group_name_H-M_alt 'P -1'
_space_group_IT_number 2
loop_
_space_group_symop_operation_xyz
'x,y,z'
'-x,-y,-z'
loop_
_atom_site_label
_atom_site_type_symbol
_atom_site_fract_x
_atom_site_fract_y
_atom_site_fract_z
Os1 Os 0.121 0.159 0.363
Xe1 Xe 0.463 0.288 0.827
O1 O 0.019 0.212 0.204
O2 O 0.058 0.714 0.532
O3 O 0.282 0.454 0.910
O4 O 0.413 0.241 0.340
F1 F 0.164 0.135 0.866
F2 F 0.178 0.014 0.562
F3 F 0.217 0.577 0.222
F4 F 0.267 0.947 0.307
F5 F 0.373 0.374 0.633
F6 F 0.433 0.814 0.985

2.
# YOsO2F | the Alexandria database | PBE-GGA | optimized geometry
# - uncorrected formation energy (eV/atom) = -1.19
# - total DFT energy (no corrections) (eV/atom) = -7.08
# - density (Mg/m³) = 7.90
data_YOsO2F
_cell_length_a 3.903
_cell_length_b 3.903
_cell_length_c 4.556
_cell_angle_alpha 90.00
_cell_angle_beta 90.00
_cell_angle_gamma 90.00
_space_group_name_H-M_alt 'P 4/m m m'
_space_group_IT_number 123
_space_group_name_Hall '-P 4 2'
loop_
_atom_site_label
_atom_site_type_symbol
_atom_site_fract_x
_atom_site_fract_y
_atom_site_fract_z
Y1 Y 0.000 0.000 0.000
Os1 Os 0.500 0.500 0.500
O1 O 0.000 0.500 0.500
F1 F 0.500 0.500 0.000

3.
# YOsO2F | the Alexandria database | PBE-GGA | optimized geometry
# - uncorrected formation energy (eV/atom) = -0.83
# - total DFT energy (no corrections) (eV/atom) = -6.73
# - density (Mg/m³) = 6.64
data_YOsO2F
_cell_length_a 4.428
_cell_length_b 4.428
_cell_length_c 4.212
_cell_angle_alpha 90.00
_cell_angle_beta 90.00
_cell_angle_gamma 90.00
_space_group_name_H-M_alt 'P 4/m m m'
_space_group_IT_number 123
_space_group_name_Hall '-P 4 2'
loop_
_atom_site_label
_atom_site_type_symbol
_atom_site_fract_x
_atom_site_fract_y
_atom_site_fract_z
Y1 Y 0.000 0.000 0.000
Os1 Os 0.500 0.500 0.500
O1 O 0.000 0.500 0.000
F1 F 0.000 0.000 0.500

4.
# ZnOsO2F | the Alexandria database | PBE-GGA | optimized geometry
# - uncorrected formation energy (eV/atom) = 0.19
# - total DFT energy (no corrections) (eV/atom) = -4.67
# - density (Mg/m³) = 8.43
data_ZnOsO2F
_cell_length_a 3.943
_cell_length_b 3.943
_cell_length_c 3.884
_cell_angle_alpha 90.00
_cell_angle_beta 90.00
_cell_angle_gamma 90.00
_space_group_name_H-M_alt 'P 4/m m m'
_space_group_IT_number 123
_space_group_name_Hall '-P 4 2'
loop_
_atom_site_label
_atom_site_type_symbol
_atom_site_fract_x
_atom_site_fract_y
_atom_site_fract_z
Zn1 Zn 0.000 0.000 0.000
Os1 Os 0.500 0.500 0.500
O1 O 0.000 0.500 0.000
F1 F 0.000 0.000 0.500

5.
# ZnOsO2F | the Alexandria database | PBE-GGA | optimized geometry
# - uncorrected formation energy (eV/atom) = -0.66
# - total DFT energy (no corrections) (eV/atom) = -5.51
# - density (Mg/m³) = 6.15
data_ZnOsO2F
_cell_length_a 3.675
_cell_length_b 3.675
_cell_length_c 6.135
_cell_angle_alpha 90.00
_cell_angle_beta 90.00
_cell_angle_gamma 90.00
_space_group_name_H-M_alt 'P 4/m m m'
_space_group_IT_number 123
_space_group_name_Hall '-P 4 2'
loop_
_atom_site_label
_atom_site_type_symbol
_atom_site_fract_x
_atom_site_fract_y
_atom_site_fract_z
Zn1 Zn 0.000 0.000 0.000
Os1 Os 0.500 0.500 0.500
O1 O 0.000 0.500 0.500
F1 F 0.500 0.500 0.000

6.
# ZrOsO2F | the Alexandria database | PBE-GGA | optimized geometry
# - uncorrected formation energy (eV/atom) = -0.98
# - total DFT energy (no corrections) (eV/atom) = -7.29
# - density (Mg/m³) = 7.51
data_ZrOsO2F
_cell_length_a 4.200
_cell_length_b 4.200
_cell_length_c 4.165
_cell_angle_alpha 90.00
_cell_angle_beta 90.00
_cell_angle_gamma 90.00
_space_group_name_H-M_alt 'P 4/m m m'
_space_group_IT_number 123
_space_group_name_Hall '-P 4 2'
loop_
_atom_site_label
_atom_site_type_symbol
_atom_site_fract_x
_atom_site_fract_y
_atom_site_fract_z
Zr1 Zr 0.000 0.000 0.000
Os1 Os 0.500 0.500 0.500
O1 O 0.000 0.500 0.000
F1 F 0.000 0.000 0.500

7.
# ZrOsOF2 | the Alexandria database | PBE-GGA | optimized geometry
# - uncorrected formation energy (eV/atom) = -0.46
# - relative energy among the computed polymorphs (kJ per mole of atoms) = 56.5
# - total DFT energy (no corrections) (eV/atom) = -6.15
# - density (Mg/m³) = 7.35
data_ZrOsOF2
_cell_length_a 4.549
_cell_length_b 4.549
_cell_length_c 3.662
_cell_angle_alpha 90.00
_cell_angle_beta 90.00
_cell_angle_gamma 90.00
_space_group_name_H-M_alt 'P 4/m m m'
_space_group_IT_number 123
_space_group_name_Hall '-P 4 2'
loop_
_atom_site_label
_atom_site_type_symbol
_atom_site_fract_x
_atom_site_fract_y
_atom_site_fract_z
Zr1 Zr 0.000 0.000 0.000
Os1 Os 0.500 0.500 0.500
O1 O 0.500 0.500 0.000
F1 F 0.000 0.500 0.500

8.
# ZrOsO2F | the Alexandria database | PBE-GGA | optimized geometry
# - uncorrected formation energy (eV/atom) = -0.60
# - total DFT energy (no corrections) (eV/atom) = -6.91
# - density (Mg/m³) = 8.06
data_ZrOsO2F
_cell_length_a 3.849
_cell_length_b 3.849
_cell_length_c 4.620
_cell_angle_alpha 90.00
_cell_angle_beta 90.00
_cell_angle_gamma 90.00
_space_group_name_H-M_alt 'P 4/m m m'
_space_group_IT_number 123
_space_group_name_Hall '-P 4 2'
loop_
_atom_site_label
_atom_site_type_symbol
_atom_site_fract_x
_atom_site_fract_y
_atom_site_fract_z
Zr1 Zr 0.000 0.000 0.000
Os1 Os 0.500 0.500 0.500
O1 O 0.000 0.500 0.500
F1 F 0.500 0.500 0.000

The calculation returns the following total moment values, one per record and in order: 0.15; 0.00; 4.26; 4.86; 0.00; 3.59; 0.00; 1.23 μB per formula unit.